Entry from Alexandria: LaTb2Si after structural relaxation (PBE).

abc: 3.9852 3.9852 9.6183
angles: 78.04 78.04 60.00
Atoms (fractional coordinates):
Tb 0.0579 0.0579 0.8264
Si 0.6654 0.6654 0.0039
Tb 0.2742 0.2742 0.1773
La 0.5025 0.5025 0.4924

Results
- Spin magnetization: 0.001 μB/cell
- Space group: R3m
- Energy: -5.09 eV/atom
- ΔE_f (raw): -0.18 eV/atom
- Relative energy among the computed polymorphs: 0.276 eV per formula unit